HfTeAuN2 (GGA-PBE, optimized geometry); final energy = -31.2 eV per cell; uncorrected formation energy = 374 meV/atom; theoretical density = 8.5 g cm⁻³; E above lowest polymorph = 0.000 eV per atom; total moment = 0.085 μB/cell
1.0
4.0732 0.0000 0.0000
0.0000 4.0732 0.0000
0.0000 0.0000 6.2749
N Te Au Hf
2 1 1 1
Cartesian
2.0366 0.0000 0.0000
0.0000 2.0366 0.0000
0.0000 0.0000 3.1374
2.0366 2.0366 3.1374
0.0000 0.0000 0.0000

---

HfTe2AuN (GGA-PBE, optimized geometry); final energy = -23.4 eV per cell; uncorrected formation energy = 885 meV/atom; theoretical density = 9.0 g cm⁻³; E above lowest polymorph = 0.717 eV per atom; total moment = 1.856 μB/cell
1.0
-5.4692 0.3005 0.8726
-0.6255 -5.0632 -2.1765
0.4737 -1.5668 3.5087
Te N Au Hf
2 1 1 1
Cartesian
-2.7346 0.1503 0.4363
-0.3127 -2.5316 -1.0882
0.2369 -0.7834 1.7543
0.0000 0.0000 0.0000
-2.8105 -3.1647 1.1024

---

HfTe2AuN (GGA-PBE, optimized geometry); final energy = -27.0 eV per cell; uncorrected formation energy = 167 meV/atom; theoretical density = 10.0 g cm⁻³; E above lowest polymorph = 0.000 eV per atom; total moment = 0.000 μB/cell
1.0
5.0852 0.0000 0.0000
0.0000 4.1376 0.0000
0.0000 0.0000 5.0852
Te Hf N Au
2 1 1 1
Cartesian
2.5426 0.0000 0.0000
0.0000 0.0000 2.5426
0.0000 2.0688 0.0000
0.0000 0.0000 0.0000
2.5426 2.0688 2.5426

---

HfTe2AuN (GGA-PBE, optimized geometry); final energy = -26.8 eV per cell; uncorrected formation energy = 212 meV/atom; theoretical density = 8.4 g cm⁻³; E above lowest polymorph = 0.044 eV per atom; total moment = 0.000 μB/cell
1.0
5.7048 0.0000 0.0000
0.0000 5.7048 0.0000
0.0000 0.0000 3.9385
Hf Te N Au
1 2 1 1
Cartesian
0.0000 0.0000 0.0000
2.8524 0.0000 0.0000
0.0000 2.8524 0.0000
0.0000 0.0000 1.9692
2.8524 2.8524 1.9692